A relaxed KGaSe2 crystal. Source: Alexandria, functional PBE-GGA.

Computed properties:
Calculated density in Mg/m³: 4.360
Formation energy from raw total energies in eV per atom: -0.746

Cell lengths 3.9157, 3.9157, 22.9430 Å; angles 90.00, 90.00, 120.00 degrees
Closest atoms and distances in Å follow each position.
Space group R-3m (No. 166, hexagonal axes)
One atom of each set of equivalent atoms:
K (0.0000, 0.0000, 0.0000)  6 Se 3.30
Ga (0.0000, 0.0000, 0.5000)  6 Se 2.67
Se (0.0000, 0.0000, 0.2286)  3 Ga 2.67